(1)
Below is crystalline Ca2BeCdRu at its relaxed geometry, with properties calculated at the PBE-GGA level.

Values from the calculation:
- M_tot (μB per formula unit) = 0.0
- space group = P4/mmm (123)
- DFT total energy (eV per cell) = -16.800

abc: 5.374 4.126 5.374
angles: 90.00 90.00 90.00
Element x y z (fractional)
1 Be 0.000 0.000 0.000
2 Ca 0.000 0.000 0.500
3 Ru 0.000 0.500 0.000
4 Ca 0.500 0.000 0.000
5 Cd 0.500 0.500 0.500

(2)
Below is crystalline CaTaBeCd2 at its relaxed geometry, with properties calculated at the PBE-GGA level.

Values from the calculation:
- M_tot (μB per formula unit) = 2.9
- space group = P4/mmm (123)
- DFT total energy (eV per cell) = -11.684

abc: 5.436 5.780 5.436
angles: 90.00 90.00 90.00
Element x y z (fractional)
1 Cd 0.000 0.000 0.500
2 Be 0.500 0.500 0.500
3 Ta 0.000 0.000 0.000
4 Ca 0.000 0.500 0.000
5 Cd 0.500 0.000 0.000